Entry 1:
! LiPaZnCd, relaxed, DFT PBE; values from VASP
! ΔH_f (0 K): 0.17 eV/atom
&SYSTEM
  ibrav = 0, nat = 4, ntyp = 4
/
ATOMIC_SPECIES
Li 6.94 Li.upf
Pa 231.04 Pa.upf
Zn 65.41 Zn.upf
Cd 112.41 Cd.upf
CELL_PARAMETERS angstrom
0.000 3.425 3.425
3.425 0.000 3.425
3.425 3.425 0.000
ATOMIC_POSITIONS crystal
Li 0.000 0.000 0.000
Pa 0.750 0.750 0.750
Zn 0.500 0.500 0.500
Cd 0.250 0.250 0.250

=====

Entry 2:
! NaPt, relaxed, DFT PBE; values from VASP
! ΔH_f (0 K): 0.24 eV/atom
&SYSTEM
  ibrav = 0, nat = 8, ntyp = 2
/
ATOMIC_SPECIES
Na 22.99 Na.upf
Pt 195.08 Pt.upf
CELL_PARAMETERS angstrom
5.277 0.000 0.000
0.000 5.277 0.000
0.000 0.000 5.277
ATOMIC_POSITIONS crystal
Na 0.096 0.404 0.596
Na 0.404 0.596 0.096
Na 0.596 0.096 0.404
Na 0.904 0.904 0.904
Pt 0.107 0.893 0.393
Pt 0.393 0.107 0.893
Pt 0.607 0.607 0.607
Pt 0.893 0.393 0.107

=====

Entry 3:
! Zr5Si, relaxed, DFT PBE; values from VASP
! E_form (uncorrected): -133.4 meV/atom
! ΔE to the lowest computed polymorph: 86 meV/atom
&SYSTEM
  ibrav = 0, nat = 6, ntyp = 2
/
ATOMIC_SPECIES
Zr 91.22 Zr.upf
Si 28.09 Si.upf
CELL_PARAMETERS angstrom
4.963 0.000 0.000
0.000 1.605 8.086
0.000 -1.605 8.086
ATOMIC_POSITIONS crystal
Zr 0.000 0.000 0.000
Zr 0.000 0.311 0.311
Zr 0.500 0.192 0.192
Zr 0.500 0.536 0.536
Zr 0.500 0.871 0.871
Si 0.000 0.651 0.651

=====

Entry 4:
! Sr2Mg2Br, relaxed, DFT PBE; values from VASP
! E_form (uncorrected): -420.4 meV/atom
&SYSTEM
  ibrav = 0, nat = 10, ntyp = 3
/
ATOMIC_SPECIES
Sr 87.62 Sr.upf
Mg 24.30 Mg.upf
Br 79.90 Br.upf
CELL_PARAMETERS angstrom
8.509 0.000 0.000
0.000 8.509 0.000
0.000 0.000 5.491
ATOMIC_POSITIONS crystal
Sr 0.173 0.327 0.000
Sr 0.327 0.827 0.000
Sr 0.673 0.173 0.000
Sr 0.827 0.673 0.000
Mg 0.122 0.622 0.500
Mg 0.378 0.122 0.500
Mg 0.622 0.878 0.500
Mg 0.878 0.378 0.500
Br 0.000 0.000 0.000
Br 0.500 0.500 0.000

=====

Entry 5:
! PbW, relaxed, DFT PBE; values from VASP
! ΔE to the lowest computed polymorph: 165 meV/atom
! ΔH_f (0 K): 0.66 eV/atom
&SYSTEM
  ibrav = 0, nat = 16, ntyp = 2
/
ATOMIC_SPECIES
Pb 207.20 Pb.upf
W 183.84 W.upf
CELL_PARAMETERS angstrom
10.853 0.000 0.000
0.000 10.853 0.000
0.000 0.000 3.176
ATOMIC_POSITIONS crystal
Pb 0.138 0.827 0.000
Pb 0.173 0.138 0.000
Pb 0.340 0.356 0.500
Pb 0.356 0.660 0.500
Pb 0.644 0.340 0.500
Pb 0.660 0.644 0.500
Pb 0.827 0.862 0.000
Pb 0.862 0.173 0.000
W 0.050 0.365 0.500
W 0.134 0.525 0.000
W 0.365 0.950 0.500
W 0.475 0.134 0.000
W 0.525 0.866 0.000
W 0.635 0.050 0.500
W 0.866 0.475 0.000
W 0.950 0.635 0.500

=====

Entry 6:
! SrRhBr2, relaxed, DFT PBE; values from VASP
! E_form (uncorrected): -429.4 meV/atom
! ΔE to the lowest computed polymorph: 440 meV/atom
&SYSTEM
  ibrav = 0, nat = 4, ntyp = 3
/
ATOMIC_SPECIES
Sr 87.62 Sr.upf
Rh 102.91 Rh.upf
Br 79.90 Br.upf
CELL_PARAMETERS angstrom
3.819 0.000 0.000
0.000 3.819 0.000
0.000 0.000 6.864
ATOMIC_POSITIONS crystal
Sr 0.000 0.000 0.000
Rh 0.000 0.000 0.500
Br 0.500 0.500 0.254
Br 0.500 0.500 0.746

=====

Entry 7:
! Nd5CuSe8, relaxed, DFT PBE; values from VASP
! E_form (uncorrected): -1638.1 meV/atom
&SYSTEM
  ibrav = 0, nat = 14, ntyp = 3
/
ATOMIC_SPECIES
Nd 144.24 Nd.upf
Cu 63.55 Cu.upf
Se 78.96 Se.upf
CELL_PARAMETERS angstrom
-4.402 4.402 4.542
4.402 -4.402 4.542
4.402 4.402 -4.542
ATOMIC_POSITIONS crystal
Nd 0.000 0.000 0.000
Nd 0.254 0.134 0.623
Nd 0.369 0.746 0.880
Nd 0.511 0.631 0.377
Nd 0.866 0.489 0.120
Cu 0.750 0.250 0.500
Se 0.098 0.357 0.870
Se 0.145 0.385 0.396
Se 0.251 0.855 0.240
Se 0.488 0.229 0.130
Se 0.615 0.011 0.760
Se 0.643 0.512 0.741
Se 0.771 0.902 0.259
Se 0.989 0.749 0.604

=====

Entry 8:
! TmTh2Pb, relaxed, DFT PBE; values from VASP
! ΔE to the lowest computed polymorph: 0 meV/atom
! ΔH_f (0 K): -0.20 eV/atom
&SYSTEM
  ibrav = 0, nat = 4, ntyp = 3
/
ATOMIC_SPECIES
Tm 168.93 Tm.upf
Th 232.04 Th.upf
Pb 207.20 Pb.upf
CELL_PARAMETERS angstrom
4.807 0.000 0.000
0.000 4.807 0.000
0.000 0.000 5.136
ATOMIC_POSITIONS crystal
Tm 0.000 0.000 0.000
Th 0.000 0.500 0.500
Th 0.500 0.000 0.500
Pb 0.500 0.500 0.000

=====

no.,total moment (μB per formula unit),uncorrected energy (eV per cell)
1,1.22,-12.92
2,0.00,-27.48
3,0.00,-48.96
4,0.00,-20.66
5,0.00,-122.74
6,1.02,-14.10
7,0.00,-78.75
8,0.00,-23.80